PBE BeCl, relaxed; crystal system = monoclinic; symmetry = C2/m (12); excess energy over the best structure of this formula in the dataset = 0.15 eV/f.u.; magnetic moment = 0.00 μB/f.u.; final energy = -3.277 eV/atom
1.0
2.765 -1.548 0.000
2.765 1.548 0.000
-2.262 0.000 8.323
Be Cl
2 2
direct
0.141 0.141 0.387
0.859 0.859 0.613
0.407 0.407 0.244
0.593 0.593 0.756